{"formula": "PPt2Se", "functional": "SCAN", "state": "PBEsol geometry", "mass_density_kg_m3": 13331, "vol_a3_per_atom": 15.57, "e_form_raw_mev_per_atom": 410, "magnetic_moment_mub_per_fu": 0.00, "final_energy_ev_per_atom": -42.3059, "space_group": "No. 47", "lattice": [[2.8272, 0.0000, 0.0000], [0.0000, 4.4758, 0.0000], [0.0000, 0.0000, 4.9227]], "species": ["P", "Pt", "Pt", "Se"], "frac_coords": [[0.0000, 0.5000, 0.5000], [0.0000, 0.0000, 0.0000], [0.5000, 0.0000, 0.5000], [0.5000, 0.5000, 0.0000]]}